A plane-wave DFT calculation with GGA-PBE was carried out for crystalline HoTmIn at its relaxed geometry.

**Fermi-level density of states**: 4.721 states/eV/cell
**Electronic total energy**: -3.29 eV/atom
**ΔH_f (0 K)**: 61.4 kJ per mole of atoms
**Total magnetization**: 0.00 μB per formula unit

Cell and atoms, written as CIF:
```
data_HoTmIn
_chemical_formula_sum 'Ho1 Tm1 In1'
_space_group_name_H-M_alt 'P 4/m m m'
_space_group_IT_number 123
_space_group_name_Hall '-P 4 2'
_cell_length_a 4.223
_cell_length_b 4.223
_cell_length_c 6.170
_cell_angle_alpha 90.00
_cell_angle_beta 90.00
_cell_angle_gamma 90.00
loop_
_atom_site_label
_atom_site_type_symbol
_atom_site_fract_x
_atom_site_fract_y
_atom_site_fract_z
Ho1 Ho 0.000 0.000 0.000
Tm1 Tm 0.000 0.000 0.500
In1 In 0.500 0.500 0.000
```

---

A plane-wave DFT calculation with GGA-PBE was carried out for crystalline ZrTa2Al at its relaxed geometry.

**Fermi-level density of states**: 13.113 states/eV/cell
**Electronic total energy**: -8.89 eV/atom
**ΔH_f (0 K)**: 10.4 kJ per mole of atoms
**Total magnetization**: 0.00 μB per formula unit

Cell and atoms, written as CIF:
```
data_ZrTa2Al
_chemical_formula_sum 'Zr3 Ta6 Al3'
_space_group_name_H-M_alt 'R -3 m'
_space_group_IT_number 166
_space_group_name_Hall '-R 3 2"'
_cell_length_a 2.9508
_cell_length_b 2.9508
_cell_length_c 30.2094
_cell_angle_alpha 90.00
_cell_angle_beta 90.00
_cell_angle_gamma 120.00
loop_
_atom_site_label
_atom_site_type_symbol
_atom_site_fract_x
_atom_site_fract_y
_atom_site_fract_z
Zr1 Zr 0.0000 0.0000 0.0000
Ta1 Ta 0.0000 0.0000 0.2442
Al1 Al 0.0000 0.0000 0.5000
```

---

A plane-wave DFT calculation with GGA-PBE was carried out for crystalline TlNiW2 at its relaxed geometry.

**Fermi-level density of states**: 6.684 states/eV/cell
**Electronic total energy**: -7.91 eV/atom
**ΔH_f (0 K)**: 58.2 kJ per mole of atoms
**Total magnetization**: 0.00 μB per formula unit

Cell and atoms, written as CIF:
```
data_TlNiW2
_chemical_formula_sum 'Tl2 Ni2 W4'
_space_group_name_H-M_alt 'C 1 2/m 1'
_space_group_IT_number 12
_cell_length_a 9.745
_cell_length_b 3.077
_cell_length_c 4.533
_cell_angle_alpha 90.00
_cell_angle_beta 104.86
_cell_angle_gamma 90.00
loop_
_space_group_symop_operation_xyz
'x,y,z'
'-x,-y,-z'
'-x,y,-z'
'x,-y,z'
'x+1/2,y+1/2,z'
'-x+1/2,-y+1/2,-z'
'-x+1/2,y+1/2,-z'
'x+1/2,-y+1/2,z'
loop_
_atom_site_label
_atom_site_type_symbol
_atom_site_fract_x
_atom_site_fract_y
_atom_site_fract_z
Tl1 Tl 0.000 0.000 0.000
Ni1 Ni 0.000 0.500 0.500
W1 W 0.240 0.000 0.730
```

---

A plane-wave DFT calculation with GGA-PBE was carried out for crystalline PH2 at its relaxed geometry.

**Fermi-level density of states**: 0.117 states/eV/cell
**Electronic total energy**: -3.98 eV/atom
**Total magnetization**: 0.00 μB per formula unit

Cell and atoms, written as CIF:
```
data_PH2
_chemical_formula_sum 'P1 H2'
_space_group_name_H-M_alt 'P 1'
_space_group_IT_number 1
_cell_length_a 2.607
_cell_length_b 4.247
_cell_length_c 4.267
_cell_angle_alpha 106.30
_cell_angle_beta 106.49
_cell_angle_gamma 106.64
loop_
_space_group_symop_operation_xyz
'x,y,z'
loop_
_atom_site_label
_atom_site_type_symbol
_atom_site_fract_x
_atom_site_fract_y
_atom_site_fract_z
P1 P 0.000 0.000 0.000
H1 H 0.200 0.370 0.058
H2 H 0.212 0.083 0.373
```

---

A plane-wave DFT calculation with GGA-PBE was carried out for crystalline LiTbPdPb at its relaxed geometry.

**Fermi-level density of states**: 0.972 states/eV/cell
**Electronic total energy**: -4.50 eV/atom
**ΔH_f (0 K)**: -61.8 kJ per mole of atoms
**Total magnetization**: 0.00 μB per formula unit

Cell and atoms, written as CIF:
```
data_LiTbPdPb
_chemical_formula_sum 'Li4 Tb4 Pd4 Pb4'
_space_group_name_H-M_alt 'F -4 3 m'
_space_group_IT_number 216
_space_group_name_Hall 'F -4 2 3'
_cell_length_a 6.845
_cell_length_b 6.845
_cell_length_c 6.845
_cell_angle_alpha 90.00
_cell_angle_beta 90.00
_cell_angle_gamma 90.00
loop_
_atom_site_label
_atom_site_type_symbol
_atom_site_fract_x
_atom_site_fract_y
_atom_site_fract_z
Li1 Li 0.000 0.000 0.000
Tb1 Tb 0.250 0.250 0.750
Pd1 Pd 0.000 0.000 0.500
Pb1 Pb 0.250 0.250 0.250
```

---

A plane-wave DFT calculation with GGA-PBE was carried out for crystalline Cs2BiH2 at its relaxed geometry.

**Fermi-level density of states**: 2.469 states/eV/cell
**Electronic total energy**: -2.54 eV/atom
**Total magnetization**: 0.00 μB per formula unit

Cell and atoms, written as CIF:
```
data_Cs2BiH2
_chemical_formula_sum 'Cs4 Bi2 H4'
_space_group_name_H-M_alt 'C 1 2/m 1'
_space_group_IT_number 12
_cell_length_a 15.615
_cell_length_b 5.382
_cell_length_c 3.833
_cell_angle_alpha 90.00
_cell_angle_beta 104.02
_cell_angle_gamma 90.00
loop_
_space_group_symop_operation_xyz
'x,y,z'
'-x,-y,-z'
'-x,y,-z'
'x,-y,z'
'x+1/2,y+1/2,z'
'-x+1/2,-y+1/2,-z'
'-x+1/2,y+1/2,-z'
'x+1/2,-y+1/2,z'
loop_
_atom_site_label
_atom_site_type_symbol
_atom_site_fract_x
_atom_site_fract_y
_atom_site_fract_z
Cs1 Cs 0.145 0.000 0.143
Bi1 Bi 0.000 0.500 0.500
H1 H 0.147 0.500 0.645
```

---

A plane-wave DFT calculation with GGA-PBE was carried out for crystalline Li3InAs2 at its relaxed geometry.

**Electronic total energy**: -3.41 eV/atom
**ΔH_f (0 K)**: -42.7 kJ per mole of atoms
**Total magnetization**: 0.00 μB per formula unit

Cell and atoms, written as CIF:
```
data_Li3InAs2
_chemical_formula_sum 'Li12 In4 As8'
_space_group_name_H-M_alt 'I b a m'
_space_group_IT_number 72
_space_group_name_Hall '-I 2 2c'
_cell_length_a 6.195
_cell_length_b 12.543
_cell_length_c 6.726
_cell_angle_alpha 90.00
_cell_angle_beta 90.00
_cell_angle_gamma 90.00
loop_
_atom_site_label
_atom_site_type_symbol
_atom_site_fract_x
_atom_site_fract_y
_atom_site_fract_z
Li1 Li 0.000 0.000 0.250
Li2 Li 0.000 0.263 0.250
In1 In 0.000 0.500 0.000
As1 As 0.218 0.141 0.000
```

---

A plane-wave DFT calculation with GGA-PBE was carried out for crystalline CaRe2Au at its relaxed geometry.

**Fermi-level density of states**: 7.462 states/eV/cell
**Electronic total energy**: -7.05 eV/atom
**ΔH_f (0 K)**: 47.8 kJ per mole of atoms
**Total magnetization**: 0.00 μB per formula unit

Cell and atoms, written as CIF:
```
data_CaRe2Au
_chemical_formula_sum 'Ca2 Re4 Au2'
_space_group_name_H-M_alt 'I m m 2'
_space_group_IT_number 44
_cell_length_a 3.876
_cell_length_b 4.731
_cell_length_c 8.157
_cell_angle_alpha 90.00
_cell_angle_beta 90.00
_cell_angle_gamma 90.00
loop_
_space_group_symop_operation_xyz
'x,y,z'
'-x,-y,z'
'-x,y,z'
'x,-y,z'
'x+1/2,y+1/2,z+1/2'
'-x+1/2,-y+1/2,z+1/2'
'-x+1/2,y+1/2,z+1/2'
'x+1/2,-y+1/2,z+1/2'
loop_
_atom_site_label
_atom_site_type_symbol
_atom_site_fract_x
_atom_site_fract_y
_atom_site_fract_z
Ca1 Ca 0.000 0.000 0.000
Re1 Re 0.000 0.000 0.549
Re2 Re 0.000 0.500 0.233
Au1 Au 0.000 0.500 0.772
```

---

A plane-wave DFT calculation with GGA-PBE was carried out for crystalline AuC2S at its relaxed geometry.

**Fermi-level density of states**: 12.040 states/eV/cell
**Electronic total energy**: -4.90 eV/atom
**Formation energy (no corrections)**: 1.564 eV/atom
**Total magnetization**: 0.00 μB per formula unit

Cell and atoms, written as CIF:
```
data_AuC2S
_chemical_formula_sum 'Au4 C8 S4'
_space_group_name_H-M_alt 'I -4 2 d'
_space_group_IT_number 122
_space_group_name_Hall 'I -4 2bw'
_cell_length_a 4.834
_cell_length_b 4.834
_cell_length_c 8.014
_cell_angle_alpha 90.00
_cell_angle_beta 90.00
_cell_angle_gamma 90.00
loop_
_atom_site_label
_atom_site_type_symbol
_atom_site_fract_x
_atom_site_fract_y
_atom_site_fract_z
Au1 Au 0.000 0.000 0.000
C1 C 0.171 0.250 0.625
S1 S 0.000 0.000 0.500
```

---

A plane-wave DFT calculation with GGA-PBE was carried out for crystalline Rb2BaNbBr6 at its relaxed geometry.

**Fermi-level density of states**: 0.000 states/eV/cell
**Electronic total energy**: -3.82 eV/atom
**Formation energy (no corrections)**: -1.422 eV/atom
**Total magnetization**: 3.00 μB per formula unit

Cell and atoms, written as CIF:
```
data_Rb2BaNbBr6
_chemical_formula_sum 'Rb8 Ba4 Nb4 Br24'
_space_group_name_H-M_alt 'F m -3 m'
_space_group_IT_number 225
_space_group_name_Hall '-F 4 2 3'
_cell_length_a 11.698
_cell_length_b 11.698
_cell_length_c 11.698
_cell_angle_alpha 90.00
_cell_angle_beta 90.00
_cell_angle_gamma 90.00
loop_
_atom_site_label
_atom_site_type_symbol
_atom_site_fract_x
_atom_site_fract_y
_atom_site_fract_z
Rb1 Rb 0.250 0.250 0.250
Ba1 Ba 0.000 0.000 0.000
Nb1 Nb 0.000 0.000 0.500
Br1 Br 0.000 0.000 0.268
```

---

A plane-wave DFT calculation with GGA-PBE was carried out for crystalline Pr2AuO2 at its relaxed geometry.

**Fermi-level density of states**: 3.591 states/eV/cell
**Electronic total energy**: -7.01 eV/atom
**Formation energy (no corrections)**: -2.456 eV/atom
**Total magnetization**: 0.00 μB per formula unit

Cell and atoms, written as CIF:
```
data_Pr2AuO2
_chemical_formula_sum 'Pr4 Au2 O4'
_space_group_name_H-M_alt 'I 4/m m m'
_space_group_IT_number 139
_space_group_name_Hall '-I 4 2'
_cell_length_a 4.071
_cell_length_b 4.071
_cell_length_c 12.638
_cell_angle_alpha 90.00
_cell_angle_beta 90.00
_cell_angle_gamma 90.00
loop_
_atom_site_label
_atom_site_type_symbol
_atom_site_fract_x
_atom_site_fract_y
_atom_site_fract_z
Pr1 Pr 0.000 0.000 0.156
Au1 Au 0.000 0.000 0.500
O1 O 0.000 0.500 0.250
```

---

A plane-wave DFT calculation with GGA-PBE was carried out for crystalline AcLaCeTm at its relaxed geometry.

**Fermi-level density of states**: 49.722 states/eV/cell
**Electronic total energy**: -4.65 eV/atom
**ΔH_f (0 K)**: 20.6 kJ per mole of atoms
**Total magnetization**: 2.73 μB per formula unit

Cell and atoms, written as CIF:
```
data_AcLaCeTm
_chemical_formula_sum 'Ac4 La4 Ce4 Tm4'
_space_group_name_H-M_alt 'F -4 3 m'
_space_group_IT_number 216
_space_group_name_Hall 'F -4 2 3'
_cell_length_a 8.334
_cell_length_b 8.334
_cell_length_c 8.334
_cell_angle_alpha 90.00
_cell_angle_beta 90.00
_cell_angle_gamma 90.00
loop_
_atom_site_label
_atom_site_type_symbol
_atom_site_fract_x
_atom_site_fract_y
_atom_site_fract_z
Ac1 Ac 0.000 0.000 0.000
La1 La 0.000 0.000 0.500
Ce1 Ce 0.250 0.250 0.250
Tm1 Tm 0.250 0.250 0.750
```

---

A plane-wave DFT calculation with GGA-PBE was carried out for crystalline Rb3Sn3Ge2 at its relaxed geometry.

**Fermi-level density of states**: 7.433 states/eV/cell
**Electronic total energy**: -3.09 eV/atom
**ΔH_f (0 K)**: -7.3 kJ per mole of atoms
**Total magnetization**: 0.00 μB per formula unit

Cell and atoms, written as CIF:
```
data_Rb3Sn3Ge2
_chemical_formula_sum 'Rb6 Sn6 Ge4'
_space_group_name_H-M_alt 'P 1 21/m 1'
_space_group_IT_number 11
_cell_length_a 6.472
_cell_length_b 14.922
_cell_length_c 6.612
_cell_angle_alpha 90.00
_cell_angle_beta 109.89
_cell_angle_gamma 90.00
loop_
_space_group_symop_operation_xyz
'x,y,z'
'-x,-y,-z'
'-x,y+1/2,-z'
'x,-y+1/2,z'
loop_
_atom_site_label
_atom_site_type_symbol
_atom_site_fract_x
_atom_site_fract_y
_atom_site_fract_z
Rb1 Rb 0.043 0.250 0.450
Rb2 Rb 0.353 0.541 0.685
Sn1 Sn 0.007 0.099 0.956
Sn2 Sn 0.348 0.250 0.057
Ge1 Ge 0.399 0.668 0.206
```

---

A plane-wave DFT calculation with GGA-PBE was carried out for crystalline Nd7Y3 at its relaxed geometry.

**Fermi-level density of states**: 18.520 states/eV/cell
**Electronic total energy**: -5.13 eV/atom
**ΔH_f (0 K)**: 14.2 kJ per mole of atoms
**Total magnetization**: 0.00 μB per formula unit

Cell and atoms, written as CIF:
```
data_Nd7Y3
_chemical_formula_sum 'Nd14 Y6'
_space_group_name_H-M_alt 'P 63 m c'
_space_group_IT_number 186
_space_group_name_Hall 'P 6c -2c'
_cell_length_a 11.8017
_cell_length_b 11.8017
_cell_length_c 5.7931
_cell_angle_alpha 90.00
_cell_angle_beta 90.00
_cell_angle_gamma 120.00
loop_
_atom_site_label
_atom_site_type_symbol
_atom_site_fract_x
_atom_site_fract_y
_atom_site_fract_z
Nd1 Nd 0.0497 0.5248 0.0000
Nd2 Nd 0.1146 0.2291 0.0009
Nd3 Nd 0.3333 0.6667 0.0019
Y1 Y 0.2235 0.4469 0.5009
```

---

A plane-wave DFT calculation with GGA-PBE was carried out for crystalline K2TcBrCl6 at its relaxed geometry.

**Electronic total energy**: -3.63 eV/atom
**Formation energy (no corrections)**: -1.100 eV/atom
**Total magnetization**: 1.99 μB per formula unit

Cell and atoms, written as CIF:
```
data_K2TcBrCl6
_chemical_formula_sum 'K2 Tc1 Br1 Cl6'
_space_group_name_H-M_alt 'P 1'
_space_group_IT_number 1
_cell_length_a 6.953
_cell_length_b 7.435
_cell_length_c 8.733
_cell_angle_alpha 67.63
_cell_angle_beta 69.36
_cell_angle_gamma 64.58
loop_
_space_group_symop_operation_xyz
'x,y,z'
loop_
_atom_site_label
_atom_site_type_symbol
_atom_site_fract_x
_atom_site_fract_y
_atom_site_fract_z
K1 K 0.000 0.000 0.000
K2 K 0.473 0.584 0.419
Tc1 Tc 0.372 0.367 0.933
Br1 Br 0.967 0.648 0.370
Cl1 Cl 0.030 0.496 0.100
Cl2 Cl 0.189 0.354 0.753
Cl3 Cl 0.357 0.707 0.766
Cl4 Cl 0.390 0.023 0.102
Cl5 Cl 0.562 0.377 0.104
Cl6 Cl 0.695 0.234 0.741
```

---

A plane-wave DFT calculation with GGA-PBE was carried out for crystalline PuHg2Bi2 at its relaxed geometry.

**Fermi-level density of states**: 28.467 states/eV/cell
**Electronic total energy**: -4.68 eV/atom
**ΔH_f (0 K)**: -13.2 kJ per mole of atoms
**Total magnetization**: 5.72 μB per formula unit

Cell and atoms, written as CIF:
```
data_PuHg2Bi2
_chemical_formula_sum 'Pu2 Hg4 Bi4'
_space_group_name_H-M_alt 'C 1 2/m 1'
_space_group_IT_number 12
_cell_length_a 10.681
_cell_length_b 4.591
_cell_length_c 7.773
_cell_angle_alpha 90.00
_cell_angle_beta 131.99
_cell_angle_gamma 90.00
loop_
_space_group_symop_operation_xyz
'x,y,z'
'-x,-y,-z'
'-x,y,-z'
'x,-y,z'
'x+1/2,y+1/2,z'
'-x+1/2,-y+1/2,-z'
'-x+1/2,y+1/2,-z'
'x+1/2,-y+1/2,z'
loop_
_atom_site_label
_atom_site_type_symbol
_atom_site_fract_x
_atom_site_fract_y
_atom_site_fract_z
Pu1 Pu 0.000 0.000 0.000
Hg1 Hg 0.199 0.000 0.810
Bi1 Bi 0.109 0.500 0.407
```